*1*
This record from the Alexandria database describes a geometry-optimized Ca4Sm structure. The functional is PBE.

The structure in CIF format:
```
data_Ca4Sm
_chemical_formula_sum 'Ca4 Sm1'
_space_group_name_H-M_alt 'P m -3 m'
_space_group_IT_number 221
_space_group_name_Hall '-P 4 2 3'
_cell_length_a 6.043
_cell_length_b 6.043
_cell_length_c 6.043
_cell_angle_alpha 90.00
_cell_angle_beta 90.00
_cell_angle_gamma 90.00
loop_
_atom_site_label
_atom_site_fract_x
_atom_site_fract_y
_atom_site_fract_z
_atom_site_occupancy
Ca1 0.000 0.000 0.000 1
Ca2 0.000 0.500 0.500 1
Sm1 0.500 0.500 0.500 1
```

crystal system: cubic
DOS(E_F): 9.6 states/eV per cell

***

*2*
This record from the Alexandria database describes a geometry-optimized Ca4Sm structure. The functional is PBE.

The structure in CIF format:
```
data_Ca4Sm
_chemical_formula_sum 'Ca8 Sm2'
_space_group_name_H-M_alt 'C 1 2/m 1'
_space_group_IT_number 12
_cell_length_a 10.259
_cell_length_b 5.915
_cell_length_c 7.395
_cell_angle_alpha 90.00
_cell_angle_beta 90.14
_cell_angle_gamma 90.00
loop_
_space_group_symop_operation_xyz
'x,y,z'
'-x,-y,-z'
'-x,y,-z'
'x,-y,z'
'x+1/2,y+1/2,z'
'-x+1/2,-y+1/2,-z'
'-x+1/2,y+1/2,-z'
'x+1/2,-y+1/2,z'
loop_
_atom_site_label
_atom_site_fract_x
_atom_site_fract_y
_atom_site_fract_z
_atom_site_occupancy
Ca1 0.166 0.000 0.154 1
Ca2 0.167 0.000 0.635 1
Sm1 0.000 0.500 0.500 1
```

crystal system: monoclinic
DOS(E_F): 13.2 states/eV per cell

***

Energies relative to the most stable structure, in meV/atom: *1* 327; *2* 0.

***

*1*
This record from the Alexandria database describes a geometry-optimized CaSm2Sn structure. The functional is PBE.

The structure in CIF format:
```
data_CaSm2Sn
_chemical_formula_sum 'Ca3 Sm6 Sn3'
_space_group_name_H-M_alt 'R -3 m'
_space_group_IT_number 166
_space_group_name_Hall '-R 3 2"'
_cell_length_a 3.5962
_cell_length_b 3.5962
_cell_length_c 37.3435
_cell_angle_alpha 90.00
_cell_angle_beta 90.00
_cell_angle_gamma 120.00
loop_
_atom_site_label
_atom_site_fract_x
_atom_site_fract_y
_atom_site_fract_z
_atom_site_occupancy
Ca1 0.0000 0.0000 0.0000 1
Sm1 0.0000 0.0000 0.4159 1
Sn1 0.0000 0.0000 0.5000 1
```

crystal system: trigonal
DOS(E_F): 15.3 states/eV per cell

***

*2*
This record from the Alexandria database describes a geometry-optimized CaSm2Sn structure. The functional is PBE.

The structure in CIF format:
```
data_CaSm2Sn
_chemical_formula_sum 'Ca1 Sm2 Sn1'
_space_group_name_H-M_alt 'P 4/m m m'
_space_group_IT_number 123
_space_group_name_Hall '-P 4 2'
_cell_length_a 4.969
_cell_length_b 4.969
_cell_length_c 4.864
_cell_angle_alpha 90.00
_cell_angle_beta 90.00
_cell_angle_gamma 90.00
loop_
_atom_site_label
_atom_site_fract_x
_atom_site_fract_y
_atom_site_fract_z
_atom_site_occupancy
Ca1 0.000 0.000 0.000 1
Sm1 0.000 0.500 0.500 1
Sn1 0.500 0.500 0.000 1
```

crystal system: tetragonal
DOS(E_F): 3.4 states/eV per cell

***

*3*
This record from the Alexandria database describes a geometry-optimized CaSm2Sn structure. The functional is PBE.

The structure in CIF format:
```
data_CaSm2Sn
_chemical_formula_sum 'Ca4 Sm8 Sn4'
_space_group_name_H-M_alt 'F m -3 m'
_space_group_IT_number 225
_space_group_name_Hall '-F 4 2 3'
_cell_length_a 7.808
_cell_length_b 7.808
_cell_length_c 7.808
_cell_angle_alpha 90.00
_cell_angle_beta 90.00
_cell_angle_gamma 90.00
loop_
_atom_site_label
_atom_site_fract_x
_atom_site_fract_y
_atom_site_fract_z
_atom_site_occupancy
Ca1 0.000 0.000 0.000 1
Sm1 0.250 0.250 0.250 1
Sn1 0.000 0.000 0.500 1
```

crystal system: cubic
DOS(E_F): 22.4 states/eV per cell

***

Energies relative to the most stable structure, in meV/atom: *1* 505; *2* 0; *3* 117.

***

*1*
This record from the Alexandria database describes a geometry-optimized Sr2CaSm structure. The functional is PBE.

The structure in CIF format:
```
data_Sr2CaSm
_chemical_formula_sum 'Sr6 Ca3 Sm3'
_space_group_name_H-M_alt 'R 3 m'
_space_group_IT_number 160
_space_group_name_Hall 'R 3 -2"'
_cell_length_a 3.9479
_cell_length_b 3.9479
_cell_length_c 39.4696
_cell_angle_alpha 90.00
_cell_angle_beta 90.00
_cell_angle_gamma 120.00
loop_
_atom_site_label
_atom_site_fract_x
_atom_site_fract_y
_atom_site_fract_z
_atom_site_occupancy
Sr1 0.0000 0.0000 0.0000 1
Sr2 0.0000 0.0000 0.1721 1
Ca1 0.0000 0.0000 0.4195 1
Sm1 0.0000 0.0000 0.5860 1
```

crystal system: trigonal
DOS(E_F): 19.8 states/eV per cell

***

*2*
This record from the Alexandria database describes a geometry-optimized Sr2CaSm structure. The functional is PBE.

The structure in CIF format:
```
data_Sr2CaSm
_chemical_formula_sum 'Sr6 Ca3 Sm3'
_space_group_name_H-M_alt 'R -3 m'
_space_group_IT_number 166
_space_group_name_Hall '-R 3 2"'
_cell_length_a 3.8582
_cell_length_b 3.8582
_cell_length_c 41.8953
_cell_angle_alpha 90.00
_cell_angle_beta 90.00
_cell_angle_gamma 120.00
loop_
_atom_site_label
_atom_site_fract_x
_atom_site_fract_y
_atom_site_fract_z
_atom_site_occupancy
Sr1 0.0000 0.0000 0.0866 1
Ca1 0.0000 0.0000 0.5000 1
Sm1 0.0000 0.0000 0.0000 1
```

crystal system: trigonal
DOS(E_F): 16.0 states/eV per cell

***

Energies relative to the most stable structure, in meV/atom: *1* 0; *2* 144.

***

*1*
This record from the Alexandria database describes a geometry-optimized Sr2CaSm structure. The functional is PBE.

The structure in CIF format:
```
data_Sr2CaSm
_chemical_formula_sum 'Sr2 Ca1 Sm1'
_space_group_name_H-M_alt 'P 4/m m m'
_space_group_IT_number 123
_space_group_name_Hall '-P 4 2'
_cell_length_a 6.295
_cell_length_b 6.295
_cell_length_c 4.399
_cell_angle_alpha 90.00
_cell_angle_beta 90.00
_cell_angle_gamma 90.00
loop_
_atom_site_label
_atom_site_fract_x
_atom_site_fract_y
_atom_site_fract_z
_atom_site_occupancy
Sr1 0.000 0.500 0.000 1
Ca1 0.000 0.000 0.500 1
Sm1 0.500 0.500 0.500 1
```

crystal system: tetragonal
DOS(E_F): 4.0 states/eV per cell

***

*2*
This record from the Alexandria database describes a geometry-optimized Sr2CaSm structure. The functional is PBE.

The structure in CIF format:
```
data_Sr2CaSm
_chemical_formula_sum 'Sr2 Ca1 Sm1'
_space_group_name_H-M_alt 'P 4/m m m'
_space_group_IT_number 123
_space_group_name_Hall '-P 4 2'
_cell_length_a 3.941
_cell_length_b 3.941
_cell_length_c 11.460
_cell_angle_alpha 90.00
_cell_angle_beta 90.00
_cell_angle_gamma 90.00
loop_
_atom_site_label
_atom_site_fract_x
_atom_site_fract_y
_atom_site_fract_z
_atom_site_occupancy
Sr1 0.000 0.000 0.239 1
Ca1 0.500 0.500 0.500 1
Sm1 0.500 0.500 0.000 1
```

crystal system: tetragonal
DOS(E_F): 7.2 states/eV per cell

***

Energies relative to the most stable structure, in meV/atom: *1* 24; *2* 0.

***

*1*
This record from the Alexandria database describes a geometry-optimized SrCa4Sm structure. The functional is PBE.

The structure in CIF format:
```
data_SrCa4Sm
_chemical_formula_sum 'Sr4 Ca16 Sm4'
_space_group_name_H-M_alt 'F -4 3 m'
_space_group_IT_number 216
_space_group_name_Hall 'F -4 2 3'
_cell_length_a 10.179
_cell_length_b 10.179
_cell_length_c 10.179
_cell_angle_alpha 90.00
_cell_angle_beta 90.00
_cell_angle_gamma 90.00
loop_
_atom_site_label
_atom_site_fract_x
_atom_site_fract_y
_atom_site_fract_z
_atom_site_occupancy
Sr1 0.000 0.000 0.000 1
Ca1 0.124 0.124 0.376 1
Sm1 0.250 0.250 0.750 1
```

crystal system: cubic
DOS(E_F): 43.9 states/eV per cell

***

*2*
This record from the Alexandria database describes a geometry-optimized SrCa4Sm structure. The functional is PBE.

The structure in CIF format:
```
data_SrCa4Sm
_chemical_formula_sum 'Sr1 Ca4 Sm1'
_space_group_name_H-M_alt 'P 4/m m m'
_space_group_IT_number 123
_space_group_name_Hall '-P 4 2'
_cell_length_a 4.047
_cell_length_b 4.047
_cell_length_c 15.349
_cell_angle_alpha 90.00
_cell_angle_beta 90.00
_cell_angle_gamma 90.00
loop_
_atom_site_label
_atom_site_fract_x
_atom_site_fract_y
_atom_site_fract_z
_atom_site_occupancy
Sr1 0.000 0.000 0.000 1
Ca1 0.000 0.000 0.352 1
Ca2 0.500 0.500 0.188 1
Sm1 0.500 0.500 0.500 1
```

crystal system: tetragonal
DOS(E_F): 8.0 states/eV per cell

***

Energies relative to the most stable structure, in meV/atom: *1* 140; *2* 0.

***

*1*
This record from the Alexandria database describes a geometry-optimized SrCa2Sm structure. The functional is PBE.

The structure in CIF format:
```
data_SrCa2Sm
_chemical_formula_sum 'Sr1 Ca2 Sm1'
_space_group_name_H-M_alt 'P 4/m m m'
_space_group_IT_number 123
_space_group_name_Hall '-P 4 2'
_cell_length_a 6.197
_cell_length_b 6.197
_cell_length_c 4.279
_cell_angle_alpha 90.00
_cell_angle_beta 90.00
_cell_angle_gamma 90.00
loop_
_atom_site_label
_atom_site_fract_x
_atom_site_fract_y
_atom_site_fract_z
_atom_site_occupancy
Sr1 0.000 0.000 0.000 1
Ca1 0.000 0.500 0.500 1
Sm1 0.500 0.500 0.000 1
```

crystal system: tetragonal
DOS(E_F): 5.6 states/eV per cell

***

*2*
This record from the Alexandria database describes a geometry-optimized SrCa2Sm structure. The functional is PBE.

The structure in CIF format:
```
data_SrCa2Sm
_chemical_formula_sum 'Sr1 Ca2 Sm1'
_space_group_name_H-M_alt 'P 3 m 1'
_space_group_IT_number 156
_cell_length_a 3.8139
_cell_length_b 3.8139
_cell_length_c 13.4135
_cell_angle_alpha 90.00
_cell_angle_beta 90.00
_cell_angle_gamma 120.00
loop_
_space_group_symop_operation_xyz
'x,y,z'
'-y,x-y,z'
'-x+y,-x,z'
'-y,-x,z'
'-x+y,y,z'
'x,x-y,z'
loop_
_atom_site_label
_atom_site_fract_x
_atom_site_fract_y
_atom_site_fract_z
_atom_site_occupancy
Sr1 0.0000 0.0000 0.0000 1
Ca1 0.3333 0.6667 0.7439 1
Ca2 0.6667 0.3333 0.2526 1
Sm1 0.6667 0.3333 0.5181 1
```

crystal system: trigonal
DOS(E_F): 6.1 states/eV per cell

***

Energies relative to the most stable structure, in meV/atom: *1* 0; *2* 48.